NiRh2PbO8: optimized geometry, PBE with a Hubbard U.

```
NiRh2PbO8
1.0
-2.809 -3.411 3.167
4.474 -1.729 -2.559
3.309 1.626 4.687
O Ni Rh Pb
8 1 2 1
Direct
0.305 0.945 0.150
0.695 0.055 0.850
0.945 0.640 0.850
0.667 0.333 0.357
0.055 0.360 0.150
0.333 0.667 0.643
0.360 0.305 0.850
0.640 0.695 0.150
0.000 0.000 0.000
0.333 0.667 0.955
0.667 0.333 0.045
0.000 0.000 0.500
```

Magnetization ... 0.046 Bohr magnetons per cell
Uncorrected energy ... -5.4638 eV/atom
Space group ... P-3